(1)
The following is a PBE calculation of an optimized crystal structure of Sm6In3Ru, from Alexandria.

Unit cell a=9.2010 b=11.7417 c=5.3376 alpha=90.00 beta=90.00 gamma=90.00
Fractional positions:
Sm (0.0103, 0.2370, 0.0000)
Sm (0.1535, 0.0824, 0.5000)
Sm (0.1914, 0.4200, 0.5000)
Sm (0.3086, 0.9200, 0.0000)
Sm (0.3465, 0.5824, 0.0000)
Sm (0.4897, 0.7370, 0.5000)
Sm (0.5103, 0.2630, 0.5000)
Sm (0.6535, 0.4176, 0.0000)
Sm (0.6914, 0.0800, 0.0000)
Sm (0.8086, 0.5800, 0.5000)
Sm (0.8465, 0.9176, 0.5000)
Sm (0.9897, 0.7630, 0.0000)
In (0.0000, 0.5000, 0.0000)
In (0.1552, 0.7312, 0.5000)
In (0.3448, 0.2312, 0.0000)
In (0.5000, 0.0000, 0.5000)
In (0.6552, 0.7688, 0.0000)
In (0.8448, 0.2688, 0.5000)
Ru (0.0000, 0.0000, 0.0000)
Ru (0.5000, 0.5000, 0.5000)

Summary:
total energy = -4.8877 eV/atom
calculated formation energy = -296 kJ/mol of formula units
magnetization = 0.000 Bohr magnetons per cell
offset from the most stable computed form = 0.28 eV per formula unit
space-group type = No. 58

***

(2)
The following is a PBE calculation of an optimized crystal structure of Sm2InRu, from Alexandria.

Unit cell a=5.1682 b=5.1682 c=5.1682 alpha=60.00 beta=60.00 gamma=60.00
Fractional positions:
Sm (0.2500, 0.2500, 0.2500)
Sm (0.7500, 0.7500, 0.7500)
In (0.0000, 0.0000, 0.0000)
Ru (0.5000, 0.5000, 0.5000)

Summary:
total energy = -5.6153 eV/atom
calculated formation energy = -97 kJ/mol of formula units
magnetization = 0.000 Bohr magnetons per cell
offset from the most stable computed form = 0.43 eV per formula unit
space-group type = No. 225

***

(3)
The following is a PBE calculation of an optimized crystal structure of Sm8In2Ru, from Alexandria.

Unit cell a=9.2318 b=9.2318 c=7.0661 alpha=111.40 beta=111.40 gamma=35.47
Fractional positions:
Sm (0.0051, 0.0051, 0.2624)
Sm (0.1953, 0.1953, 0.7258)
Sm (0.3648, 0.3648, 0.6064)
Sm (0.3875, 0.3875, 0.1029)
Sm (0.6125, 0.6125, 0.8971)
Sm (0.6352, 0.6352, 0.3936)
Sm (0.8047, 0.8047, 0.2742)
Sm (0.9949, 0.9949, 0.7376)
In (0.1845, 0.1845, 0.1884)
In (0.8155, 0.8155, 0.8116)
Ru (0.5000, 0.5000, 0.5000)

Summary:
total energy = -5.0201 eV/atom
calculated formation energy = -262 kJ/mol of formula units
magnetization = 0.000 Bohr magnetons per cell
space-group type = No. 12

***

(4)
The following is a PBE calculation of an optimized crystal structure of Sm2InRu, from Alexandria.

Unit cell a=3.4254 b=3.4254 c=8.5618 alpha=90.00 beta=90.00 gamma=90.00
Fractional positions:
Sm (0.0000, 0.0000, 0.2021)
Sm (0.0000, 0.0000, 0.7979)
In (0.5000, 0.5000, 0.5000)
Ru (0.5000, 0.5000, 0.0000)

Summary:
total energy = -5.7217 eV/atom
calculated formation energy = -138 kJ/mol of formula units
magnetization = 0.000 Bohr magnetons per cell
offset from the most stable computed form = 0.00 eV per formula unit
space-group type = No. 123

***

(5)
The following is a PBE calculation of an optimized crystal structure of Sm6InRu2, from Alexandria.

Unit cell a=8.6540 b=8.6540 c=8.6540 alpha=112.90 beta=111.37 gamma=104.27
Fractional positions:
Sm (0.0345, 0.2384, 0.7961)
Sm (0.1834, 0.2866, 0.4699)
Sm (0.1834, 0.7134, 0.8968)
Sm (0.3282, 0.0162, 0.6880)
Sm (0.3282, 0.6403, 0.3120)
Sm (0.4423, 0.2384, 0.2039)
Sm (0.5577, 0.7616, 0.7961)
Sm (0.6718, 0.3597, 0.6880)
Sm (0.6718, 0.9838, 0.3120)
Sm (0.8166, 0.2866, 0.1032)
Sm (0.8166, 0.7134, 0.5301)
Sm (0.9655, 0.7616, 0.2039)
In (0.0000, 0.0000, 0.0000)
In (0.5000, 0.5000, 0.0000)
Ru (0.1253, 0.6253, 0.5000)
Ru (0.3236, 0.0000, 0.3236)
Ru (0.6764, 0.0000, 0.6764)
Ru (0.8747, 0.3747, 0.5000)

Summary:
total energy = -5.8232 eV/atom
calculated formation energy = -270 kJ/mol of formula units
magnetization = 0.000 Bohr magnetons per cell
offset from the most stable computed form = 0.00 eV per formula unit
space-group type = No. 71

***

(6)
The following is a PBE calculation of an optimized crystal structure of Sm5In2Ru2, from Alexandria.

Unit cell a=9.1084 b=9.1084 c=7.8143 alpha=90.00 beta=90.00 gamma=48.97
Fractional positions:
Sm (0.0000, 0.0000, 0.0000)
Sm (0.0575, 0.7063, 0.6761)
Sm (0.2063, 0.5575, 0.1761)
Sm (0.2937, 0.9425, 0.6761)
Sm (0.4425, 0.7937, 0.1761)
Sm (0.5000, 0.5000, 0.5000)
Sm (0.5575, 0.2063, 0.8239)
Sm (0.7063, 0.0575, 0.3239)
Sm (0.7937, 0.4425, 0.8239)
Sm (0.9425, 0.2937, 0.3239)
In (0.2214, 0.2214, 0.0000)
In (0.2786, 0.2786, 0.5000)
In (0.7214, 0.7214, 0.5000)
In (0.7786, 0.7786, 0.0000)
Ru (0.1204, 0.8796, 0.3730)
Ru (0.3796, 0.6204, 0.8730)
Ru (0.6204, 0.3796, 0.1270)
Ru (0.8796, 0.1204, 0.6270)

Summary:
total energy = -5.6039 eV/atom
calculated formation energy = -271 kJ/mol of formula units
magnetization = 0.000 Bohr magnetons per cell
space-group type = No. 64

***

(7)
The following is a PBE calculation of an optimized crystal structure of Sm6InRu2, from Alexandria.

Unit cell a=5.7696 b=5.7696 c=9.4005 alpha=101.11 beta=101.11 gamma=52.81
Fractional positions:
Sm (0.0343, 0.0343, 0.3469)
Sm (0.2930, 0.2930, 0.6629)
Sm (0.3357, 0.3357, 0.1185)
Sm (0.6643, 0.6643, 0.8815)
Sm (0.7070, 0.7070, 0.3371)
Sm (0.9657, 0.9657, 0.6531)
In (0.0000, 0.0000, 0.0000)
Ru (0.3843, 0.3843, 0.4042)
Ru (0.6157, 0.6157, 0.5958)

Summary:
total energy = -5.7372 eV/atom
calculated formation energy = -196 kJ/mol of formula units
magnetization = 0.000 Bohr magnetons per cell
offset from the most stable computed form = 0.77 eV per formula unit
space-group type = No. 12

***

(8)
The following is a PBE calculation of an optimized crystal structure of SmInRu2, from Alexandria.

Unit cell a=4.6480 b=4.6480 c=3.4666 alpha=90.00 beta=90.00 gamma=90.00
Fractional positions:
Sm (0.0000, 0.0000, 0.0000)
In (0.5000, 0.5000, 0.0000)
Ru (0.0000, 0.5000, 0.5000)
Ru (0.5000, 0.0000, 0.5000)

Summary:
total energy = -6.5784 eV/atom
calculated formation energy = -29 kJ/mol of formula units
magnetization = 0.006 Bohr magnetons per cell
space-group type = No. 123

***

(9)
The following is a PBE calculation of an optimized crystal structure of TbSmInRu, from Alexandria.

Unit cell a=5.1260 b=5.1260 c=5.1260 alpha=60.00 beta=60.00 gamma=60.00
Fractional positions:
Tb (0.0000, 0.0000, 0.0000)
Sm (0.5000, 0.5000, 0.5000)
In (0.7500, 0.7500, 0.7500)
Ru (0.2500, 0.2500, 0.2500)

Summary:
total energy = -5.6259 eV/atom
calculated formation energy = -110 kJ/mol of formula units
magnetization = 0.000 Bohr magnetons per cell
space-group type = No. 216

***

(10)
The following is a PBE calculation of an optimized crystal structure of Sm2U2InRu5, from Alexandria.

Unit cell a=10.9371 b=10.9371 c=3.3627 alpha=90.00 beta=90.00 gamma=90.00
Fractional positions:
Sm (0.1653, 0.3347, 0.0000)
Sm (0.3347, 0.8347, 0.0000)
Sm (0.6653, 0.1653, 0.0000)
Sm (0.8347, 0.6653, 0.0000)
U (0.1480, 0.6480, 0.0000)
U (0.3520, 0.1480, 0.0000)
U (0.6480, 0.8520, 0.0000)
U (0.8520, 0.3520, 0.0000)
In (0.0000, 0.0000, 0.0000)
In (0.5000, 0.5000, 0.0000)
Ru (0.0000, 0.5000, 0.5000)
Ru (0.0484, 0.7863, 0.5000)
Ru (0.2137, 0.0484, 0.5000)
Ru (0.2863, 0.5484, 0.5000)
Ru (0.4516, 0.2863, 0.5000)
Ru (0.5000, 0.0000, 0.5000)
Ru (0.5484, 0.7137, 0.5000)
Ru (0.7137, 0.4516, 0.5000)
Ru (0.7863, 0.9516, 0.5000)
Ru (0.9516, 0.2137, 0.5000)

Summary:
total energy = -8.2488 eV/atom
calculated formation energy = -131 kJ/mol of formula units
magnetization = 0.000 Bohr magnetons per cell
space-group type = No. 127

***

(11)
The following is a PBE calculation of an optimized crystal structure of SmYInRu, from Alexandria.

Unit cell a=3.4575 b=3.4575 c=8.1229 alpha=90.00 beta=90.00 gamma=90.00
Fractional positions:
Sm (0.0000, 0.0000, 0.0000)
Y (0.0000, 0.0000, 0.5837)
In (0.5000, 0.5000, 0.2981)
Ru (0.5000, 0.5000, 0.7864)

Summary:
total energy = -6.2010 eV/atom
calculated formation energy = -155 kJ/mol of formula units
magnetization = 0.000 Bohr magnetons per cell
offset from the most stable computed form = 0.00 eV per formula unit
space-group type = No. 99

***

(12)
The following is a PBE calculation of an optimized crystal structure of SmYInRu, from Alexandria.

Unit cell a=5.1209 b=5.1209 c=5.1209 alpha=60.00 beta=60.00 gamma=60.00
Fractional positions:
Sm (0.0000, 0.0000, 0.0000)
Y (0.5000, 0.5000, 0.5000)
In (0.2500, 0.2500, 0.2500)
Ru (0.7500, 0.7500, 0.7500)

Summary:
total energy = -6.0943 eV/atom
calculated formation energy = -114 kJ/mol of formula units
magnetization = 0.000 Bohr magnetons per cell
offset from the most stable computed form = 0.43 eV per formula unit
space-group type = No. 216

***

(13)
The following is a PBE calculation of an optimized crystal structure of InSnRu2, from Alexandria.

Unit cell a=5.8994 b=5.8994 c=5.8994 alpha=104.73 beta=104.73 gamma=119.44
Fractional positions:
In (0.0000, 0.0000, 0.0000)
In (0.7500, 0.2500, 0.5000)
Sn (0.2500, 0.7500, 0.5000)
Sn (0.5000, 0.5000, 0.0000)
Ru (0.1345, 0.1250, 0.5095)
Ru (0.3750, 0.8655, 0.9905)
Ru (0.6155, 0.6250, 0.4905)
Ru (0.8750, 0.3845, 0.0095)

Summary:
total energy = -5.7283 eV/atom
calculated formation energy = 230 kJ/mol of formula units
magnetization = 1.949 Bohr magnetons per cell
space-group type = No. 122

***

(14)
The following is a PBE calculation of an optimized crystal structure of InSnRu2, from Alexandria.

Unit cell a=4.5567 b=4.5567 c=3.2351 alpha=90.00 beta=90.00 gamma=90.00
Fractional positions:
In (0.0000, 0.0000, 0.0000)
Sn (0.5000, 0.5000, 0.0000)
Ru (0.0000, 0.5000, 0.5000)
Ru (0.5000, 0.0000, 0.5000)

Summary:
total energy = -6.3597 eV/atom
calculated formation energy = -14 kJ/mol of formula units
magnetization = 0.000 Bohr magnetons per cell
space-group type = No. 123

***

(15)
The following is a PBE calculation of an optimized crystal structure of InSn8Ru2, from Alexandria.

Unit cell a=7.6191 b=7.6191 c=5.1980 alpha=95.99 beta=95.99 gamma=70.69
Fractional positions:
In (0.0000, 0.0000, 0.0000)
Sn (0.1393, 0.1393, 0.5461)
Sn (0.1626, 0.5669, 0.8947)
Sn (0.3828, 0.3828, 0.4419)
Sn (0.4331, 0.8374, 0.1053)
Sn (0.5669, 0.1626, 0.8947)
Sn (0.6172, 0.6172, 0.5581)
Sn (0.8374, 0.4331, 0.1053)
Sn (0.8607, 0.8607, 0.4539)
Ru (0.2140, 0.2140, 0.0670)
Ru (0.7860, 0.7860, 0.9330)

Summary:
total energy = -4.8153 eV/atom
calculated formation energy = 33 kJ/mol of formula units
magnetization = 0.000 Bohr magnetons per cell
space-group type = No. 12

***

(16)
The following is a PBE calculation of an optimized crystal structure of InSnRu2, from Alexandria.

Unit cell a=4.5628 b=4.5628 c=4.5628 alpha=60.00 beta=60.00 gamma=60.00
Fractional positions:
In (0.0000, 0.0000, 0.0000)
Sn (0.5000, 0.5000, 0.5000)
Ru (0.2500, 0.2500, 0.2500)
Ru (0.7500, 0.7500, 0.7500)

Summary:
total energy = -6.3692 eV/atom
calculated formation energy = -18 kJ/mol of formula units
magnetization = 0.000 Bohr magnetons per cell
space-group type = No. 225

***

(17)
The following is a PBE calculation of an optimized crystal structure of In2Sn4Ru, from Alexandria.

Unit cell a=9.3561 b=9.3561 c=9.3561 alpha=149.20 beta=149.20 gamma=44.12
Fractional positions:
In (0.1725, 0.1725, 0.0000)
In (0.8275, 0.8275, 0.0000)
Sn (0.0000, 0.5000, 0.5000)
Sn (0.3450, 0.3450, 0.0000)
Sn (0.5000, 0.0000, 0.5000)
Sn (0.6550, 0.6550, 0.0000)
Ru (0.5000, 0.5000, 0.0000)

Summary:
total energy = -4.2183 eV/atom
calculated formation energy = 119 kJ/mol of formula units
magnetization = 0.000 Bohr magnetons per cell
space-group type = No. 139

***

(18)
The following is a PBE calculation of an optimized crystal structure of In3SnRu, from Alexandria.

Unit cell a=5.1607 b=5.1607 c=5.1607 alpha=90.00 beta=90.00 gamma=90.00
Fractional positions:
In (0.0000, 0.0000, 0.5000)
In (0.0000, 0.5000, 0.0000)
In (0.5000, 0.0000, 0.0000)
Sn (0.5000, 0.5000, 0.5000)
Ru (0.0000, 0.0000, 0.0000)

Summary:
total energy = -4.0602 eV/atom
calculated formation energy = 115 kJ/mol of formula units
magnetization = 0.000 Bohr magnetons per cell
offset from the most stable computed form = 0.00 eV per formula unit
space-group type = No. 221

***

(19)
The following is a PBE calculation of an optimized crystal structure of InSnRu3, from Alexandria.

Unit cell a=4.8424 b=4.8424 c=4.8424 alpha=90.00 beta=90.00 gamma=90.00
Fractional positions:
In (0.0000, 0.0000, 0.0000)
Sn (0.5000, 0.5000, 0.5000)
Ru (0.0000, 0.5000, 0.5000)
Ru (0.5000, 0.0000, 0.5000)
Ru (0.5000, 0.5000, 0.0000)

Summary:
total energy = -5.4338 eV/atom
calculated formation energy = 714 kJ/mol of formula units
magnetization = 3.006 Bohr magnetons per cell
offset from the most stable computed form = 0.00 eV per formula unit
space-group type = No. 221

***

(20)
The following is a PBE calculation of an optimized crystal structure of In2Sn2Ru, from Alexandria.

Unit cell a=6.9734 b=6.9734 c=5.0572 alpha=90.00 beta=90.00 gamma=90.00
Fractional positions:
In (0.1743, 0.3257, 0.0000)
In (0.3257, 0.8257, 0.0000)
In (0.6743, 0.1743, 0.0000)
In (0.8257, 0.6743, 0.0000)
Sn (0.1531, 0.6531, 0.5000)
Sn (0.3469, 0.1531, 0.5000)
Sn (0.6531, 0.8469, 0.5000)
Sn (0.8469, 0.3469, 0.5000)
Ru (0.0000, 0.0000, 0.5000)
Ru (0.5000, 0.5000, 0.5000)

Summary:
total energy = -4.2777 eV/atom
calculated formation energy = 132 kJ/mol of formula units
magnetization = 0.000 Bohr magnetons per cell
space-group type = No. 127